First-principles (GGA+U) data for K3Mn2F7 after structural relaxation, as listed in Alexandria via LeMat-Bulk.

abc: 4.2550 4.2550 11.3392
angles: 100.80 100.80 90.00
Last column: nearest neighbours and their distance in Å.
Fractional coordinates of all 12 atoms:
1 K 0.0000 0.0000 0.0000  12 F 3.00-3.01
2 K 0.1863 0.1863 0.3717  5 F 2.60-2.89
3 K 0.8137 0.8137 0.6283  5 F 2.60-2.89
4 Mn 0.4014 0.4014 0.8036  6 F 2.12-2.15
5 Mn 0.5986 0.5986 0.1964  6 F 2.12-2.15
6 F 0.0971 0.5975 0.1933  2 Mn 2.13
7 F 0.3050 0.3050 0.6096  1 Mn 2.12
8 F 0.4025 0.9029 0.8067  2 Mn 2.13
9 F 0.5000 0.5000 0.0000  2 Mn 2.15
10 F 0.5975 0.0971 0.1933  2 Mn 2.13
11 F 0.6950 0.6950 0.3904  1 Mn 2.12
12 F 0.9029 0.4025 0.8067  2 Mn 2.13

Computed properties:
* VASP energy: -5.380 eV per atom
* symmetry: C2/m